[1]
Compound: Tl2Ag2O3
Source: Alexandria via LeMat-Bulk
Functional: PBE-GGA
Structure: relaxed

Output
raw formation energy: -27.99 kJ/mol of atoms

Unit cell a=3.627 b=6.390 c=6.449 alpha=119.83 beta=90.17 gamma=106.31
Fractional coordinates of all 7 atoms:
Tl 0.604 0.206 0.863
Tl 0.396 0.794 0.137
Ag 0.865 0.730 0.603
Ag 0.135 0.270 0.397
O 0.000 0.000 0.000
O 0.799 0.597 0.224
O 0.201 0.403 0.776


[2]
Compound: TlAgO3
Source: Alexandria via LeMat-Bulk
Functional: PBE-GGA
Structure: relaxed

Output
raw formation energy: -15.98 kJ/mol of atoms

Unit cell a=5.742 b=5.742 c=5.954 alpha=61.17 beta=61.17 gamma=60.00
Fractional coordinates of all 10 atoms:
Tl 0.865 0.865 0.406
Tl 0.135 0.135 0.594
Ag 0.651 0.651 0.047
Ag 0.349 0.349 0.953
O 0.269 0.949 0.242
O 0.949 0.540 0.242
O 0.540 0.269 0.242
O 0.731 0.051 0.758
O 0.051 0.460 0.758
O 0.460 0.731 0.758